Record 1
DFT (PBE-GGA) results for a geometry-optimized YBi2IO8 structure.

Results
Formation energy (no corrections) ... -16.13 eV per formula unit
Calculated volume ... 187.07 Å³/cell
Space group ... Cmmm (65)
Final energy ... -0.219 hartree per atom

Cell lengths 5.242, 5.242, 6.807 Å; angles 90.00, 90.00, 90.01 degrees
Fractional positions:
Y (0.000, 0.000, 0.000)
Bi (0.500, 0.500, 0.252)
Bi (0.500, 0.500, 0.748)
I (0.000, 0.000, 0.500)
O (0.175, 0.175, 0.285)
O (0.175, 0.175, 0.715)
O (0.252, 0.748, 0.500)
O (0.308, 0.692, 0.000)
O (0.692, 0.308, 0.000)
O (0.748, 0.252, 0.500)
O (0.825, 0.825, 0.285)
O (0.825, 0.825, 0.715)

Record 2
DFT (PBE-GGA) results for a geometry-optimized YBiIO6 structure.

Results
Formation energy (no corrections) ... -12.45 eV per formula unit
D(E_F) ... 0.437 states/eV/atom
Calculated volume ... 272.50 Å³/cell
Space group ... P-31c (163)
Final energy ... -0.221 hartree per atom

Cell lengths 5.684, 5.684, 9.738 Å; angles 90.00, 90.00, 120.00 degrees
Fractional positions:
Y (0.333, 0.667, 0.250)
Y (0.667, 0.333, 0.750)
Bi (0.000, 0.000, 0.000)
Bi (0.000, 0.000, 0.500)
I (0.333, 0.667, 0.750)
I (0.667, 0.333, 0.250)
O (0.035, 0.371, 0.636)
O (0.035, 0.665, 0.864)
O (0.335, 0.371, 0.864)
O (0.335, 0.965, 0.636)
O (0.371, 0.035, 0.136)
O (0.371, 0.335, 0.364)
O (0.629, 0.665, 0.636)
O (0.629, 0.965, 0.864)
O (0.665, 0.035, 0.364)
O (0.665, 0.629, 0.136)
O (0.965, 0.335, 0.136)
O (0.965, 0.629, 0.364)

Record 3
DFT (PBE-GGA) results for a geometry-optimized YbBi2IO4 structure.

Results
Formation energy (no corrections) ... -13.34 eV per formula unit
D(E_F) ... 1.445 states/eV/atom
Calculated volume ... 153.35 Å³/cell
Space group ... P4/mmm (123)
Final energy ... -0.202 hartree per atom

Cell lengths 3.941, 3.941, 9.875 Å; angles 90.00, 90.00, 90.00 degrees
Fractional positions:
Yb (0.000, 0.000, 0.000)
Bi (0.500, 0.500, 0.252)
Bi (0.500, 0.500, 0.748)
I (0.000, 0.000, 0.500)
O (0.000, 0.500, 0.142)
O (0.000, 0.500, 0.858)
O (0.500, 0.000, 0.142)
O (0.500, 0.000, 0.858)

Record 4
DFT (PBE-GGA) results for a geometry-optimized ZnBiI2O structure.

Results
Formation energy (no corrections) ... -0.96 eV per formula unit
D(E_F) ... 1.397 states/eV/atom
Calculated volume ... 130.46 Å³/cell
Space group ... P4/mmm (123)
Final energy ... -0.104 hartree per atom
Distance to the lowest polymorph of the same formula ... 0.000 eV per atom

Cell lengths 5.935, 5.935, 3.704 Å; angles 90.00, 90.00, 90.00 degrees
Fractional positions:
Zn (0.000, 0.000, 0.000)
Bi (0.500, 0.500, 0.500)
I (0.000, 0.500, 0.000)
I (0.500, 0.000, 0.000)
O (0.000, 0.000, 0.500)

Record 5
DFT (PBE-GGA) results for a geometry-optimized ZnBiI2O structure.

Results
Formation energy (no corrections) ... -0.62 eV per formula unit
D(E_F) ... 0.833 states/eV/atom
Calculated volume ... 170.17 Å³/cell
Space group ... P4/mmm (123)
Final energy ... -0.102 hartree per atom
Distance to the lowest polymorph of the same formula ... 0.070 eV per atom

Cell lengths 6.289, 6.289, 4.303 Å; angles 90.00, 90.00, 90.00 degrees
Fractional positions:
Zn (0.000, 0.000, 0.000)
Bi (0.500, 0.500, 0.500)
I (0.000, 0.500, 0.500)
I (0.500, 0.000, 0.500)
O (0.500, 0.500, 0.000)

Record 6
DFT (PBE-GGA) results for a geometry-optimized ZrBiIO2 structure.

Results
Formation energy (no corrections) ... -5.67 eV per formula unit
D(E_F) ... 0.221 states/eV/atom
Calculated volume ... 113.47 Å³/cell
Space group ... P4/mmm (123)
Final energy ... -0.217 hartree per atom

Cell lengths 4.271, 4.271, 6.221 Å; angles 90.00, 90.00, 90.00 degrees
Fractional positions:
Zr (0.000, 0.000, 0.000)
Bi (0.500, 0.500, 0.500)
I (0.000, 0.000, 0.500)
O (0.000, 0.500, 0.000)
O (0.500, 0.000, 0.000)

Record 7
DFT (PBE-GGA) results for a geometry-optimized ZrBiIO2 structure.

Results
Formation energy (no corrections) ... 0.15 eV per formula unit
D(E_F) ... 1.143 states/eV/atom
Calculated volume ... 121.55 Å³/cell
Space group ... P4/mmm (123)
Final energy ... -0.175 hartree per atom

Cell lengths 4.351, 4.351, 6.420 Å; angles 90.00, 90.00, 90.00 degrees
Fractional positions:
Zr (0.000, 0.000, 0.000)
Bi (0.500, 0.500, 0.500)
I (0.500, 0.500, 0.000)
O (0.000, 0.500, 0.500)
O (0.500, 0.000, 0.500)

Record 8
DFT (PBE-GGA) results for a geometry-optimized BiOs3I structure.

Results
Formation energy (no corrections) ... 12.53 eV per formula unit
D(E_F) ... 1.097 states/eV/atom
Calculated volume ... 115.01 Å³/cell
Space group ... Pm-3m (221)
Final energy ... -0.195 hartree per atom
Distance to the lowest polymorph of the same formula ... 0.000 eV per atom

Cell lengths 4.863, 4.863, 4.863 Å; angles 90.00, 90.00, 90.00 degrees
Fractional positions:
Bi (0.000, 0.000, 0.000)
Os (0.000, 0.500, 0.500)
Os (0.500, 0.000, 0.500)
Os (0.500, 0.500, 0.000)
I (0.500, 0.500, 0.500)

Record 9
DFT (PBE-GGA) results for a geometry-optimized Bi2OsI2 structure.

Results
Formation energy (no corrections) ... 4.16 eV per formula unit
D(E_F) ... 0.761 states/eV/atom
Calculated volume ... 320.65 Å³/cell
Space group ... P4/mbm (127)
Final energy ... -0.132 hartree per atom
Distance to the lowest polymorph of the same formula ... 0.000 eV per atom

Cell lengths 7.068, 7.068, 6.418 Å; angles 90.00, 90.00, 90.00 degrees
Fractional positions:
Bi (0.223, 0.277, 0.000)
Bi (0.277, 0.777, 0.000)
Bi (0.723, 0.223, 0.000)
Bi (0.777, 0.723, 0.000)
Os (0.000, 0.000, 0.500)
Os (0.500, 0.500, 0.500)
I (0.176, 0.324, 0.500)
I (0.324, 0.824, 0.500)
I (0.676, 0.176, 0.500)
I (0.824, 0.676, 0.500)

Record 10
DFT (PBE-GGA) results for a geometry-optimized Bi2OsI structure.

Results
Formation energy (no corrections) ... 2.52 eV per formula unit
D(E_F) ... 0.237 states/eV/atom
Calculated volume ... 317.83 Å³/cell
Space group ... I-42d (122)
Final energy ... -0.166 hartree per atom
Distance to the lowest polymorph of the same formula ... 0.000 eV per atom

Cell lengths 8.193, 8.193, 8.193 Å; angles 129.66, 129.66, 73.95 degrees
Fractional positions:
Bi (0.019, 0.625, 0.894)
Bi (0.375, 0.269, 0.394)
Bi (0.731, 0.125, 0.106)
Bi (0.875, 0.981, 0.606)
Os (0.000, 0.000, 0.000)
Os (0.750, 0.250, 0.500)
I (0.250, 0.750, 0.500)
I (0.500, 0.500, 0.000)

Record 11
DFT (PBE-GGA) results for a geometry-optimized Bi2OsI structure.

Results
Formation energy (no corrections) ... 4.39 eV per formula unit
D(E_F) ... 1.201 states/eV/atom
Calculated volume ... 102.10 Å³/cell
Space group ... Fm-3m (225)
Final energy ... -0.148 hartree per atom
Distance to the lowest polymorph of the same formula ... 0.465 eV per atom

Cell lengths 5.246, 5.246, 5.246 Å; angles 60.00, 60.00, 60.00 degrees
Fractional positions:
Bi (0.250, 0.250, 0.250)
Bi (0.750, 0.750, 0.750)
Os (0.000, 0.000, 0.000)
I (0.500, 0.500, 0.500)

Record 12
DFT (PBE-GGA) results for a geometry-optimized BiOs2I structure.

Results
Formation energy (no corrections) ... 5.96 eV per formula unit
D(E_F) ... 0.876 states/eV/atom
Calculated volume ... 217.08 Å³/cell
Space group ... I-42d (122)
Final energy ... -0.201 hartree per atom
Distance to the lowest polymorph of the same formula ... 0.022 eV per atom

Cell lengths 7.453, 7.453, 7.453 Å; angles 133.06, 133.06, 68.56 degrees
Fractional positions:
Bi (0.000, 0.000, 0.000)
Bi (0.750, 0.250, 0.500)
Os (0.148, 0.625, 0.023)
Os (0.375, 0.398, 0.523)
Os (0.602, 0.125, 0.977)
Os (0.875, 0.852, 0.477)
I (0.250, 0.750, 0.500)
I (0.500, 0.500, 0.000)

| no. | magnetization (μB per atom) |
| --- | --- |
| 1 | 0.00 |
| 2 | 0.00 |
| 3 | 0.11 |
| 4 | 0.00 |
| 5 | 0.00 |
| 6 | 0.18 |
| 7 | 0.45 |
| 8 | 0.00 |
| 9 | 0.00 |
| 10 | 0.00 |
| 11 | 0.26 |
| 12 | 0.00 |